PBE PmGa4AgPt2, relaxed; total magnetization = 0.00 μB/atom; SG = No. 166; total DFT energy (no corrections) = -36.26 eV for the cell shown
1.0
4.3164 0.0000 0.0000
2.1582 3.7381 0.0000
2.1582 1.2460 9.0866
Pm Ga Ag Pt
1 4 1 2
Direct
0.0000 0.0000 0.0000
0.3968 0.3968 0.8097
0.8762 0.8762 0.3713
0.1238 0.1238 0.6287
0.6032 0.6032 0.1903
0.5000 0.5000 0.5000
0.7572 0.7572 0.7283
0.2428 0.2428 0.2717



PBE PmPuGaAg, relaxed; total magnetization = 1.48 μB/atom; SG = No. 216; total DFT energy (no corrections) = -25.79 eV for the cell shown
1.0
-4.4035 -0.6292 2.6932
-4.1291 -2.2202 -2.2498
-1.5034 -4.7622 1.4494
Pm Ga Ag Pu
1 1 1 1
Direct
0.5000 0.5000 0.5000
0.7500 0.7500 0.7500
0.2500 0.2500 0.2500
0.0000 0.0000 0.0000



> Which formula does entry 2 have?

PmPuGaAg